Entry 1:
Li2HgSb: single point on PBEsol structure, meta-GGA SCAN.

Structure (POSCAR):
```
Li2HgSb
1.0
3.318 0.000 0.000
0.000 3.318 0.000
0.000 0.000 6.878
Sb Hg Li
1 1 2
Cartesian
1.659 1.659 0.000
1.659 1.659 3.439
0.000 0.000 5.059
0.000 0.000 1.819
```

=====

Entry 2:
Li2HgSb2: single point on PBEsol structure, meta-GGA SCAN.

Structure (POSCAR):
```
Li2HgSb2
1.0
-0.798 2.949 -0.490
-1.455 -1.742 -8.106
-8.002 -1.861 1.836
Sb Hg Li
4 2 4
Cartesian
-7.016 -2.079 -1.081
-6.642 -2.694 -5.387
-2.440 -1.523 -5.189
-2.815 -0.909 -0.883
0.000 0.000 0.000
-4.728 -1.801 -3.135
-5.515 0.119 -0.066
-8.356 -1.243 -3.634
-4.740 -0.773 -6.694
-1.898 0.589 -3.126
```

=====

Number 1: uncorrected formation energy -446 meV/atom. Number 2: uncorrected formation energy -295 meV/atom.